Entry 1:
## CeBeCoH6 (PBE-GGA)

Data for a geometry-optimized CeBeCoH6 structure.

## Properties
size of the total moment = 0.90 μB per cell
E = -4.43 eV/atom
crystal system = hexagonal

Cell and atoms, written as CIF:
```
data_CeBeCoH6
_cell_length_a 4.210
_cell_length_b 4.210
_cell_length_c 4.347
_cell_angle_alpha 90.00
_cell_angle_beta 90.00
_cell_angle_gamma 60.00
_symmetry_space_group_name_H-M 'P 1'
_symmetry_Int_Tables_number 1
loop_
_symmetry_equiv_pos_as_xyz
'x,y,z'
loop_
_atom_site_label
_atom_site_type_symbol
_atom_site_fract_x
_atom_site_fract_y
_atom_site_fract_z
Be1 Be 0.667 0.667 0.500
H1 H 0.499 0.002 0.257
H2 H 0.499 0.499 0.257
H3 H 0.002 0.499 0.257
H4 H 0.499 0.002 0.743
H5 H 0.499 0.499 0.743
H6 H 0.002 0.499 0.743
Ce1 Ce 0.000 0.000 0.000
Co1 Co 0.333 0.333 0.500
```

***

Entry 2:
## CeBeCoN (PBE-GGA)

Data for a geometry-optimized CeBeCoN structure.

## Properties
uncorrected formation energy = -306 kJ/mol of formula units
size of the total moment = 2.26 μB per cell
E = -7.07 eV/atom
crystal system = tetragonal

Cell and atoms, written as CIF:
```
data_CeBeCoN
_cell_length_a 3.584
_cell_length_b 3.584
_cell_length_c 8.072
_cell_angle_alpha 90.00
_cell_angle_beta 90.00
_cell_angle_gamma 90.00
_symmetry_space_group_name_H-M 'P 1'
_symmetry_Int_Tables_number 1
loop_
_symmetry_equiv_pos_as_xyz
'x,y,z'
loop_
_atom_site_label
_atom_site_type_symbol
_atom_site_fract_x
_atom_site_fract_y
_atom_site_fract_z
Ce1 Ce 0.500 0.000 0.163
Ce2 Ce 0.000 0.500 0.837
N1 N 0.500 0.000 0.867
N2 N 0.000 0.500 0.133
Be1 Be 0.500 0.000 0.665
Be2 Be 0.000 0.500 0.335
Co1 Co 0.500 0.500 0.500
Co2 Co 0.000 0.000 0.500
```

***

Entry 3:
## Ce2BeCo2Ni5 (PBE-GGA)

Data for a geometry-optimized Ce2BeCo2Ni5 structure.

## Properties
size of the total moment = 0.00 μB per cell
E = -6.08 eV/atom
DFT formation energy = -0.207 eV per atom
crystal system = tetragonal

Cell and atoms, written as CIF:
```
data_Ce2BeCo2Ni5
_cell_length_a 3.764
_cell_length_b 8.566
_cell_length_c 8.566
_cell_angle_alpha 90.00
_cell_angle_beta 90.00
_cell_angle_gamma 90.00
_symmetry_space_group_name_H-M 'P 1'
_symmetry_Int_Tables_number 1
loop_
_symmetry_equiv_pos_as_xyz
'x,y,z'
loop_
_atom_site_label
_atom_site_type_symbol
_atom_site_fract_x
_atom_site_fract_y
_atom_site_fract_z
Ni1 Ni 0.500 0.055 0.805
Ni2 Ni 0.500 0.500 0.000
Ni3 Ni 0.500 0.445 0.305
Ni4 Ni 0.500 0.195 0.055
Ni5 Ni 0.500 0.555 0.695
Ni6 Ni 0.500 0.305 0.555
Ni7 Ni 0.500 0.945 0.195
Ni8 Ni 0.500 0.000 0.500
Ni9 Ni 0.500 0.695 0.445
Ni10 Ni 0.500 0.805 0.945
Ce1 Ce 0.000 0.682 0.182
Ce2 Ce 0.000 0.818 0.682
Ce3 Ce 0.000 0.182 0.318
Ce4 Ce 0.000 0.318 0.818
Co1 Co 0.000 0.631 0.869
Co2 Co 0.000 0.131 0.631
Co3 Co 0.000 0.869 0.369
Co4 Co 0.000 0.369 0.131
Be1 Be 0.000 0.500 0.500
Be2 Be 0.000 0.000 0.000
```

***

Entry 4:
## CeBeCoP2 (PBE-GGA)

Data for a geometry-optimized CeBeCoP2 structure.

## Properties
size of the total moment = 0.00 μB per cell
E = -6.40 eV/atom
DFT formation energy = -0.885 eV per atom
crystal system = tetragonal

Cell and atoms, written as CIF:
```
data_CeBeCoP2
_cell_length_a 3.691
_cell_length_b 3.691
_cell_length_c 5.955
_cell_angle_alpha 108.05
_cell_angle_beta 108.05
_cell_angle_gamma 90.00
_symmetry_space_group_name_H-M 'P 1'
_symmetry_Int_Tables_number 1
loop_
_symmetry_equiv_pos_as_xyz
'x,y,z'
loop_
_atom_site_label
_atom_site_type_symbol
_atom_site_fract_x
_atom_site_fract_y
_atom_site_fract_z
P1 P 0.365 0.365 0.730
P2 P 0.635 0.635 0.270
Ce1 Ce 0.000 0.000 0.000
Be1 Be 0.250 0.750 0.500
Co1 Co 0.750 0.250 0.500
```

***

What did we get for Fermi-level density of states? Answer: 5.90; 9.22; 19.98; 3.59 states/eV/cell, in the order shown.